# Rb2PrW3O12

A relaxed structure of Rb2PrW3O12 (GGA+U, the Alexandria database).

Values from the calculation:
Total magnetization = 0.90 Bohr magnetons per cell
Calculated total energy = -126.238 eV per formula unit
N(E_F) = 0.58 states/eV/atom
Symmetry = R-3m (166)

Unit cell a=7.7348 b=7.7348 c=7.7348 alpha=58.47 beta=58.47 gamma=58.47
With the nearest neighbours (Å) after each atom.
Element x y z (fractional)
Rb: 0.1343 0.1343 0.1343  3 O 3.04
Rb: 0.8657 0.8657 0.8657  3 O 3.04
Pr: 0.5000 0.5000 0.5000  6 O 2.39
W: 0.0000 0.5000 0.5000  6 O 1.91-1.96
W: 0.5000 0.0000 0.5000  6 O 1.91-1.96
W: 0.5000 0.5000 0.0000  6 O 1.91-1.96
O: 0.1259 0.5856 0.5856  1 W 1.91
O: 0.2052 0.2052 0.5704  2 W 1.96
O: 0.2052 0.5704 0.2052  2 W 1.96
O: 0.4144 0.4144 0.8741  1 W 1.91
O: 0.4144 0.8741 0.4144  1 W 1.91
O: 0.4296 0.7948 0.7948  2 W 1.96
O: 0.5704 0.2052 0.2052  2 W 1.96
O: 0.5856 0.1259 0.5856  1 W 1.91
O: 0.5856 0.5856 0.1259  1 W 1.91
O: 0.7948 0.4296 0.7948  2 W 1.96
O: 0.7948 0.7948 0.4296  2 W 1.96
O: 0.8741 0.4144 0.4144  1 W 1.91


# NbTl2Cr3F12

A relaxed structure of NbTl2Cr3F12 (GGA+U, the Alexandria database).

Values from the calculation:
Total magnetization = 13.00 Bohr magnetons per cell
Calculated total energy = -104.904 eV per formula unit
N(E_F) = 0.08 states/eV/atom
Symmetry = R-3m (166)

Unit cell a=8.0368 b=8.0368 c=8.0368 alpha=55.14 beta=55.14 gamma=55.14
With the nearest neighbours (Å) after each atom.
Element x y z (fractional)
Nb: 0.0000 0.0000 0.0000  6 F 2.01
Tl: 0.4026 0.4026 0.4026  3 F 2.99
Tl: 0.5974 0.5974 0.5974  3 F 2.99
Cr: 0.0000 0.0000 0.5000  4 F 2.02
Cr: 0.0000 0.5000 0.0000  4 F 2.02
Cr: 0.5000 0.0000 0.0000  4 F 2.02
F: 0.0807 0.6772 0.6772  2 Cr 2.02
F: 0.0823 0.0823 0.6815  1 Nb 2.01
F: 0.0823 0.6815 0.0823  1 Nb 2.01
F: 0.3185 0.9177 0.9177  1 Nb 2.01
F: 0.3228 0.3228 0.9193  2 Cr 2.02
F: 0.3228 0.9193 0.3228  2 Cr 2.02
F: 0.6772 0.0806 0.6772  2 Cr 2.02
F: 0.6772 0.6772 0.0806  2 Cr 2.02
F: 0.6815 0.0823 0.0823  1 Nb 2.01
F: 0.9177 0.3185 0.9177  1 Nb 2.01
F: 0.9177 0.9177 0.3185  1 Nb 2.01
F: 0.9194 0.3228 0.3228  2 Cr 2.02